VASP calculation (SCAN) on a PBEsol-optimized structure of SiC.

The structure in CIF format:
```
data_SiC
_chemical_formula_sum 'Si2 C2'
_cell_length_a 2.8662
_cell_length_b 2.8662
_cell_length_c 5.0204
_cell_angle_alpha 90.00
_cell_angle_beta 90.00
_cell_angle_gamma 120.00
_symmetry_space_group_name_H-M 'P 63/m m c'
_symmetry_Int_Tables_number 194
_symmetry_space_group_name_Hall '-P 6c 2c'
loop_
_atom_site_label
_atom_site_type_symbol
_atom_site_fract_x
_atom_site_fract_y
_atom_site_fract_z
_atom_site_occupancy
Si1 Si 0.3333 0.6667 0.2500 1
C1 C 0.0000 0.0000 0.0000 1
```

Calculated values
**Formation energy from raw total energies**: 1118 meV/atom
**Total energy**: -0.3285 hartree per atom

---

VASP calculation (SCAN) on a PBEsol-optimized structure of SiC2.

The structure in CIF format:
```
data_SiC2
_chemical_formula_sum 'Si2 C4'
_cell_length_a 2.8491
_cell_length_b 2.8491
_cell_length_c 7.6030
_cell_angle_alpha 90.00
_cell_angle_beta 90.00
_cell_angle_gamma 120.00
_symmetry_space_group_name_H-M 'P 63/m m c'
_symmetry_Int_Tables_number 194
_symmetry_space_group_name_Hall '-P 6c 2c'
loop_
_atom_site_label
_atom_site_type_symbol
_atom_site_fract_x
_atom_site_fract_y
_atom_site_fract_z
_atom_site_occupancy
Si1 Si 0.3333 0.6667 0.2500 1
C1 C 0.0000 0.0000 0.0880 1
```

Calculated values
**Formation energy from raw total energies**: 866 meV/atom
**Total energy**: -0.3383 hartree per atom

---

Number 1: ΔE to the lowest computed polymorph 1415 meV/atom. Number 2: ΔE to the lowest computed polymorph 478 meV/atom.